## MgZn2Sb2 (GGA-PBE)

Data for a relaxed MgZn2Sb2 crystal.

Cell: 4.6648 4.6648 11.2708 Å, 90.00 90.00 90.00°
Element x y z (fractional)
Mg: 0.0000 0.0000 0.0000
Mg: 0.5000 0.5000 0.5000
Zn: 0.0000 0.0000 0.3945
Zn: 0.0000 0.0000 0.6055
Zn: 0.5000 0.5000 0.1055
Zn: 0.5000 0.5000 0.8945
Sb: 0.0000 0.5000 0.2500
Sb: 0.0000 0.5000 0.7500
Sb: 0.5000 0.0000 0.2500
Sb: 0.5000 0.0000 0.7500

## Properties
- E_tot (eV/cell) = -23.4
- E_form (uncorrected) (eV per formula unit) = 0.68